(1)
PBE-GGA In2Re, relaxed; SG = Fm-3m, No. 225; D(E_F) = 0.87 states/eV/atom; E_tot = -5.196 eV/atom; ΔE_f = 17.97 kcal/mol of atoms
1.0
0.000 3.256 3.256
3.256 0.000 3.256
3.256 3.256 0.000
In Re
2 1
Cartesian
1.628 1.628 1.628
4.884 4.884 4.884
0.000 0.000 0.000

---

(2)
PBE-GGA InMoPt2, relaxed; SG = P4/mmm, No. 123; D(E_F) = 0.90 states/eV/atom; E_tot = -6.695 eV/atom; ΔE_f = -6.52 kcal/mol of atoms
1.0
2.887 0.000 0.000
0.000 2.887 0.000
0.000 0.000 8.033
In Mo Pt
1 1 2
Cartesian
0.000 0.000 0.000
0.000 0.000 4.017
1.443 1.443 2.137
1.443 1.443 5.896

---

(3)
PBE-GGA Re2SbOs, relaxed; SG = P4/mmm, No. 123; D(E_F) = 0.91 states/eV/atom; energy relative to the elements, uncorrected = 0.669 eV/atom; E_tot = -9.393 eV/atom
1.0
4.624 0.000 0.000
0.000 4.624 0.000
0.000 0.000 3.019
Re Sb Os
2 1 1
Cartesian
0.000 2.312 0.000
2.312 0.000 0.000
0.000 0.000 1.510
2.312 2.312 1.510

---

(4)
PBE-GGA Cu2HgMo, relaxed; SG = Cmmm, No. 65; D(E_F) = 0.85 states/eV/atom; E_tot = -4.359 eV/atom; ΔE_f = 10.90 kcal/mol of atoms
1.0
2.976 -3.815 0.000
2.976 3.815 0.000
0.000 0.000 2.713
Cu Hg Mo
2 1 1
Cartesian
1.488 1.907 0.000
1.488 -1.907 0.000
0.000 0.000 1.356
2.976 0.000 1.356

---

(5)
PBE-GGA LiH3Pt, relaxed; SG = P2_1/c, No. 14; D(E_F) = 0.00 states/eV/atom; E_tot = -3.859 eV/atom
1.0
5.222 0.000 0.000
0.000 4.778 0.000
-4.271 0.000 8.546
Li H Pt
4 12 4
Cartesian
-1.519 1.143 3.180
-3.654 1.246 7.453
4.605 3.532 1.093
2.470 3.635 5.366
-3.804 3.183 7.891
-1.669 3.983 3.617
-2.015 2.533 7.018
0.120 4.634 2.745
1.607 0.308 0.630
-0.528 2.081 4.903
1.479 2.697 3.644
-0.656 4.469 7.917
0.831 0.144 5.801
2.966 2.245 1.528
2.620 0.794 4.929
4.755 1.594 0.656
-0.176 3.425 3.757
-2.311 3.742 8.030
3.262 1.036 0.516
1.127 1.353 4.790

---

(6)
PBE-GGA Pm4Dy2Sn3O2, relaxed; SG = I4/mmm, No. 139; D(E_F) = 0.45 states/eV/atom; energy relative to the elements, uncorrected = -1.476 eV/atom; E_tot = -6.033 eV/atom
1.0
-2.385 2.385 12.677
2.385 -2.385 12.677
2.385 2.385 -12.677
Pm Dy Sn O
4 2 3 2
Cartesian
2.385 0.000 2.123
2.385 0.000 10.554
0.000 2.385 2.123
0.000 2.385 10.554
0.000 0.000 4.923
0.000 0.000 20.432
0.000 0.000 8.114
0.000 0.000 12.677
0.000 0.000 17.240
0.000 0.000 2.662
0.000 0.000 22.693

---

(7)
PBE-GGA CaRhW, relaxed; SG = P3m1, No. 156; polymorph energy (0 for the lowest one) = 0.240 eV/atom; D(E_F) = 0.97 states/eV/atom; E_tot = -6.953 eV/atom; ΔE_f = 11.13 kcal/mol of atoms
1.0
3.009 0.000 0.000
-1.504 2.606 0.000
0.000 0.000 7.115
Ca Rh W
1 1 1
Cartesian
0.000 0.000 0.000
1.504 0.869 2.487
0.000 1.737 4.447

---

(8)
PBE-GGA Mg12TlIn6, relaxed; SG = R-3, No. 148; D(E_F) = 0.38 states/eV/atom; E_tot = -1.997 eV/atom; ΔE_f = 0.00 kcal/mol of atoms
1.0
5.544 3.201 4.377
-5.544 3.201 4.377
0.000 -6.402 4.377
Mg Tl In
12 1 6
Cartesian
-5.010 1.066 5.470
-3.428 -3.806 7.661
-1.907 -0.250 4.138
1.582 -4.872 5.470
1.170 -1.527 4.138
0.737 1.777 4.138
-0.737 -1.777 8.993
-1.170 1.527 8.993
-1.582 4.872 7.662
1.907 0.250 8.993
3.428 3.806 5.470
5.010 -1.066 7.661
0.000 0.000 6.566
-3.170 -0.885 6.949
-0.819 -3.188 6.183
-2.352 2.303 6.183
2.352 -2.303 6.949
0.819 3.188 6.949
3.170 0.885 6.183

---

(9)
PBE-GGA CsBe, relaxed; SG = P-1, No. 2; polymorph energy (0 for the lowest one) = 0.115 eV/atom; D(E_F) = 0.91 states/eV/atom; E_tot = -1.535 eV/atom; ΔE_f = 17.40 kcal/mol of atoms
1.0
4.297 0.000 0.000
-2.142 5.070 0.000
-0.252 -2.613 9.389
Cs Be
2 2
Cartesian
-0.004 -0.001 2.244
1.908 2.458 7.145
0.003 2.642 0.000
1.901 -0.185 9.389

---

(10)
PBE-GGA Sm4CoAg3, relaxed; SG = P4/mmm, No. 123; D(E_F) = 0.84 states/eV/atom; E_tot = -4.523 eV/atom; ΔE_f = -4.76 kcal/mol of atoms
1.0
3.592 0.000 0.000
0.000 3.592 0.000
0.000 0.000 14.986
Sm Co Ag
4 1 3
Cartesian
0.000 0.000 1.652
0.000 0.000 5.560
0.000 0.000 9.426
0.000 0.000 13.334
1.796 1.796 0.000
1.796 1.796 3.635
1.796 1.796 7.493
1.796 1.796 11.351

---

(11)
PBE-GGA Tb4Pm3Pd4, relaxed; SG = Immm, No. 71; D(E_F) = 1.08 states/eV/atom; E_tot = -5.425 eV/atom; ΔE_f = -12.85 kcal/mol of atoms
1.0
-2.393 3.811 7.809
2.393 -3.811 7.809
2.393 3.811 -7.809
Tb Pm Pd
4 3 4
Cartesian
2.393 -2.154 5.127
0.000 1.657 2.681
2.393 2.154 5.127
0.000 5.965 2.681
2.393 0.000 0.000
0.000 0.000 6.215
0.000 0.000 9.402
2.393 0.000 3.185
0.000 2.403 0.000
0.000 5.219 0.000
0.000 3.811 4.623

---

(12)
PBE-GGA PaS2F, relaxed; SG = C2/m, No. 12; polymorph energy (0 for the lowest one) = 0.000 eV/atom; energy relative to the elements, uncorrected = -2.153 eV/atom; E_tot = -7.058 eV/atom
1.0
6.670 -2.654 0.000
6.670 2.654 0.000
-2.936 0.000 6.534
Pa S F
2 4 2
Cartesian
1.845 0.000 0.742
8.559 0.000 5.792
-0.619 0.000 1.530
1.378 0.000 6.103
9.026 0.000 0.430
11.023 0.000 5.003
2.571 0.000 2.652
7.833 0.000 3.882

---

Number 1: spin magnetization 1.1 Bohr magnetons per cell. Number 2: spin magnetization 0.0 Bohr magnetons per cell. Number 3: spin magnetization 0.0 Bohr magnetons per cell. Number 4: spin magnetization 0.6 Bohr magnetons per cell. Number 5: spin magnetization 0.0 Bohr magnetons per cell. Number 6: spin magnetization 0.0 Bohr magnetons per cell. Number 7: spin magnetization 0.0 Bohr magnetons per cell. Number 8: spin magnetization 0.0 Bohr magnetons per cell. Number 9: spin magnetization 0.0 Bohr magnetons per cell. Number 10: spin magnetization 0.8 Bohr magnetons per cell. Number 11: spin magnetization 0.0 Bohr magnetons per cell. Number 12: spin magnetization 0.0 Bohr magnetons per cell.